Compound: BaLiCa2P
Source: the Alexandria database
Functional: PBE
Structure: optimized geometry

Values from the calculation:
Fermi-level density of states = 5.64 states/eV/cell
ΔE_f = -0.44 eV per atom
total magnetic moment = 0.0 μB/f.u.
electronic total energy = -15.4 eV per cell
space-group type = P4/mmm (123)

Cell and atoms, written as POSCAR:
```
BaLiCa2P
1.0
5.585 0.000 0.000
0.000 5.585 0.000
0.000 0.000 6.368
Ba Li Ca P
1 1 2 1
Cartesian
0.000 0.000 0.000 Ba
2.793 2.793 0.000 Li
0.000 2.793 3.184 Ca
2.793 0.000 3.184 Ca
0.000 0.000 3.184 P
```